Computed, not measured: a relaxed structure of GaSn2Hg at the PBE-GGA level of DFT.

a = 4.5349 Å, b = 4.5349 Å, c = 18.0944 Å
α = 90.00°, β = 90.00°, γ = 120.00°
Space group R3m (No. 160, hexagonal axes)
Asymmetric unit:
Ga1 0.0000 0.0000 0.0000 [3 per cell]
Sn1 0.0000 0.0000 0.4058 [3 per cell]
Sn2 0.0000 0.0000 0.5947 [3 per cell]
Hg1 0.0000 0.0000 0.1698 [3 per cell]

Summary:
calculated total energy = -33.0 eV for the cell shown
size of the total moment = 0.00 μB/cell
excess energy over the best structure of this formula in the dataset = 0.074 eV/f.u.